Entry i
This record from OQMD describes TlInTe3Pd after structural relaxation. The functional is PBE.

Calculated values
- space group = No. 11

Cell: 8.750 4.138 10.830 Å, 90.00 113.45 90.00°
Fractional positions:
Tl 0.715 0.250 0.205
Tl 0.285 0.750 0.795
Te 0.220 0.250 0.024
Te 0.780 0.750 0.976
Te 0.961 0.250 0.653
Te 0.554 0.750 0.362
Te 0.039 0.750 0.347
Te 0.446 0.250 0.638
In 0.709 0.750 0.661
In 0.291 0.250 0.339
Pd 0.108 0.750 0.124
Pd 0.892 0.250 0.876



Entry ii
This record from OQMD describes TlInTe3Pd after structural relaxation. The functional is PBE.

Calculated values
- space group = No. 62

Cell: 16.259 4.385 10.334 Å, 90.00 90.00 90.00°
Fractional positions:
Pd 0.495 0.250 0.320
Pd 0.005 0.750 0.820
Pd 0.505 0.750 0.680
Pd 0.995 0.250 0.180
Te 0.333 0.250 0.220
Te 0.569 0.750 0.435
Te 0.069 0.750 0.065
Te 0.599 0.250 0.113
Te 0.167 0.750 0.720
Te 0.667 0.750 0.780
Te 0.099 0.250 0.387
Te 0.901 0.750 0.613
Te 0.931 0.250 0.935
Te 0.833 0.250 0.280
Te 0.401 0.750 0.887
Te 0.431 0.250 0.565
Tl 0.237 0.250 0.939
Tl 0.737 0.250 0.561
Tl 0.763 0.750 0.061
Tl 0.263 0.750 0.439
In 0.544 0.250 0.845
In 0.456 0.750 0.155
In 0.044 0.250 0.655
In 0.956 0.750 0.345



Here is how they stack up, most stable first: entry ii, entry i.



Entry i
This record from OQMD describes PmInSi after structural relaxation. The functional is PBE.

Calculated values
- space group = No. 216

Cell: 4.974 4.974 4.974 Å, 60.00 60.00 60.00°
Fractional positions:
Si 0.750 0.750 0.750
Pm 0.000 0.000 0.000
In 0.250 0.250 0.250



Entry ii
This record from OQMD describes PmInSi after structural relaxation. The functional is PBE.

Calculated values
- space group = No. 216

Cell: 4.781 4.781 4.781 Å, 60.00 60.00 60.00°
Fractional positions:
In 0.250 0.250 0.250
Si 0.000 0.000 0.000
Pm 0.750 0.750 0.750



Here is how they stack up, most stable first: entry ii, entry i.



Entry i
This record from OQMD describes PmZnIn after structural relaxation. The functional is PBE.

Calculated values
- space group = No. 187

Cell: 4.740 4.740 3.735 Å, 90.00 90.00 120.00°
Fractional positions:
Zn 0.333 0.667 0.833
Pm 0.667 0.333 0.333
In 0.000 0.000 0.833



Entry ii
This record from OQMD describes PmZnIn after structural relaxation. The functional is PBE.

Calculated values
- space group = No. 216

Cell: 4.878 4.878 4.878 Å, 60.00 60.00 60.00°
Fractional positions:
Pm 0.250 0.250 0.250
Zn 0.750 0.750 0.750
In 0.000 0.000 0.000



Here is how they stack up, most stable first: entry i, entry ii.



Entry i
This record from OQMD describes PrZnInS3 after structural relaxation. The functional is PBE.

Calculated values
- space group = No. 62

Cell: 11.395 4.201 11.959 Å, 90.00 90.00 90.00°
Fractional positions:
S 0.220 0.500 0.203
S 0.048 0.500 0.838
S 0.106 0.000 0.441
S 0.548 0.500 0.662
S 0.952 0.000 0.162
S 0.780 0.000 0.797
S 0.452 0.000 0.338
S 0.894 0.500 0.559
S 0.394 0.500 0.941
S 0.720 0.500 0.297
S 0.606 0.000 0.059
S 0.280 0.000 0.703
Pr 0.520 0.000 0.827
Pr 0.020 0.000 0.673
Pr 0.980 0.500 0.327
Pr 0.480 0.500 0.173
In 0.337 0.500 0.513
In 0.663 0.000 0.487
In 0.837 0.500 0.987
In 0.163 0.000 0.013
Zn 0.249 0.500 0.803
Zn 0.751 0.000 0.197
Zn 0.749 0.500 0.697
Zn 0.251 0.000 0.303



Entry ii
This record from OQMD describes PrZnInS3 after structural relaxation. The functional is PBE.

Calculated values
- space group = No. 63

Cell: 7.302 7.302 11.000 Å, 90.00 90.00 32.39°
Fractional positions:
S 0.938 0.938 0.750
S 0.062 0.062 0.250
S 0.370 0.370 0.074
S 0.630 0.630 0.574
S 0.370 0.370 0.426
S 0.630 0.630 0.926
In 0.749 0.749 0.250
In 0.251 0.251 0.750
Pr 0.000 0.000 0.500
Pr 0.000 0.000 0.000
Zn 0.538 0.538 0.750
Zn 0.462 0.462 0.250



Here is how they stack up, most stable first: entry i, entry ii.